Density functional theory data (PBE) for a relaxed structure of LaAlP2.

Properties
SG   Imm2 (44)
Formation energy   -0.58 eV per atom

Unit cell a=6.979 b=6.979 c=6.979 alpha=150.66 beta=148.67 gamma=43.45
Fractional coordinates of all 4 atoms:
P  0.972  0.972  0.000
Al  0.547  0.547  0.000
La  0.295  0.795  0.500
P  0.686  0.186  0.500

Density functional theory data (PBE) for a relaxed structure of BaSi2Os.

Properties
SG   R3m (160)
Formation energy from raw total energies   -0.249 eV/atom

Unit cell a=4.172 b=4.172 c=6.547 alpha=71.44 beta=71.44 gamma=60.04
Fractional coordinates of all 4 atoms:
Si  0.031  0.031  0.908
Si  0.302  0.302  0.094
Ba  0.493  0.493  0.522
Os  0.675  0.675  0.976

Density functional theory data (PBE) for a relaxed structure of KFe2P.

Properties
SG   Cm (8)
Formation energy   -0.05 eV per atom

Unit cell a=3.993 b=3.993 c=6.511 alpha=71.78 beta=71.78 gamma=59.99
Fractional coordinates of all 4 atoms:
Fe  0.322  0.322  0.035
K  0.496  0.496  0.505
P  0.674  0.674  0.980
Fe  0.008  0.008  0.980

Density functional theory data (PBE) for a relaxed structure of TaCo2Tc2.

Properties
SG   P4/mbm (127)
Formation energy   0.02 eV per atom
E above lowest polymorph   0.000 kcal/mol of atoms

Unit cell a=7.174 b=7.174 c=2.663 alpha=90.00 beta=90.00 gamma=90.00
Fractional coordinates of all 10 atoms:
Tc  0.175  0.675  0.500
Ta  0.000  0.000  0.000
Ta  0.500  0.500  0.000
Co  0.381  0.881  0.000
Co  0.119  0.381  0.000
Tc  0.675  0.825  0.500
Co  0.619  0.119  0.000
Co  0.881  0.619  0.000
Tc  0.325  0.175  0.500
Tc  0.825  0.325  0.500

Density functional theory data (PBE) for a relaxed structure of YPtC2.

Properties
SG   Fm-3m (225)
Formation energy   0.92 eV per atom
E above lowest polymorph   9.344 kcal/mol of atoms

Unit cell a=4.167 b=4.167 c=4.167 alpha=60.00 beta=60.00 gamma=60.00
Fractional coordinates of all 4 atoms:
Pt  0.500  0.500  0.500
C  0.750  0.750  0.750
Y  0.000  0.000  0.000
C  0.250  0.250  0.250

Density functional theory data (PBE) for a relaxed structure of SmBr3.

Properties
SG   Cmcm (63)
Formation energy from raw total energies   -1.868 eV/atom

Unit cell a=7.525 b=7.525 c=9.231 alpha=90.00 beta=90.00 gamma=148.76
Fractional coordinates of all 8 atoms:
Br  0.658  0.342  0.068
Br  0.342  0.658  0.568
Sm  0.742  0.258  0.750
Br  0.100  0.900  0.750
Br  0.900  0.100  0.250
Br  0.342  0.658  0.932
Br  0.658  0.342  0.432
Sm  0.258  0.742  0.250

Density functional theory data (PBE) for a relaxed structure of CaAc2La8.

Properties
SG   C2/m (12)
Formation energy   0.03 eV per atom

Unit cell a=5.405 b=8.492 c=10.009 alpha=104.80 beta=105.66 gamma=90.00
Fractional coordinates of all 11 atoms:
La  0.410  0.540  0.820
La  0.317  0.093  0.635
Ca  0.500  0.000  0.000
La  0.955  0.283  0.910
La  0.683  0.907  0.365
La  0.590  0.460  0.180
La  0.045  0.717  0.090
La  0.860  0.817  0.721
La  0.140  0.183  0.279
Ac  0.227  0.639  0.453
Ac  0.773  0.361  0.547

Density functional theory data (PBE) for a relaxed structure of AcPrHo2.

Properties
SG   Fm-3m (225)
Formation energy   0.11 eV per atom
E above lowest polymorph   1.462 kcal/mol of atoms

Unit cell a=5.871 b=5.871 c=5.871 alpha=60.00 beta=60.00 gamma=60.00
Fractional coordinates of all 4 atoms:
Pr  0.500  0.500  0.500
Ac  0.000  0.000  0.000
Ho  0.250  0.250  0.250
Ho  0.750  0.750  0.750